# 1
{
  "formula": "Y2ErZnN",
  "functional": "GGA-PBE",
  "state": "relaxed",
  "sg": "P4/mmm",
  "dos_ef_per_ev_cell": 5.0,
  "m_tot_mub_per_fu": 0.000,
  "raw_formation_energy_ev_per_atom": -0.8086,
  "lattice": [[4.788, 0.000, 0.000], [0.000, 4.788, 0.000], [0.000, 0.000, 4.710]],
  "species": ["Y", "Y", "Er", "Zn", "N"],
  "fractional_positions": [[0.000, 0.500, 0.000], [0.500, 0.000, 0.000], [0.000, 0.000, 0.500], [0.500, 0.500, 0.500], [0.000, 0.000, 0.000]]
}

=====

# 2
{
  "formula": "YEr2ZrN4",
  "functional": "GGA-PBE",
  "state": "relaxed",
  "sg": "P2/m",
  "dos_ef_per_ev_cell": 1.1,
  "m_tot_mub_per_fu": 0.000,
  "raw_formation_energy_ev_per_atom": -1.7604,
  "lattice": [[5.865, 0.000, 0.000], [0.000, 3.384, 0.000], [-1.940, 0.000, 5.541]],
  "species": ["Y", "Er", "Er", "Zr", "N", "N", "N", "N"],
  "fractional_positions": [[0.000, 0.000, 0.000], [0.500, 0.000, 0.500], [0.500, 0.500, 0.000], [0.000, 0.500, 0.500], [0.241, 0.000, 0.739], [0.246, 0.500, 0.259], [0.754, 0.500, 0.741], [0.759, 0.000, 0.261]]
}

=====

# 3
{
  "formula": "YErZr2N4",
  "functional": "GGA-PBE",
  "state": "relaxed",
  "sg": "P2/m",
  "dos_ef_per_ev_cell": 3.2,
  "m_tot_mub_per_fu": 0.000,
  "raw_formation_energy_ev_per_atom": -1.7374,
  "lattice": [[5.773, 0.000, 0.000], [0.000, 3.337, 0.000], [-1.928, 0.000, 5.500]],
  "species": ["Y", "Er", "Zr", "Zr", "N", "N", "N", "N"],
  "fractional_positions": [[0.000, 0.000, 0.000], [0.500, 0.500, 0.000], [0.000, 0.500, 0.500], [0.500, 0.000, 0.500], [0.248, 0.000, 0.736], [0.257, 0.500, 0.266], [0.743, 0.500, 0.734], [0.752, 0.000, 0.264]]
}

=====

# 4
{
  "formula": "Y3ErZr2N6",
  "functional": "GGA-PBE",
  "state": "relaxed",
  "sg": "C2/m",
  "dos_ef_per_ev_cell": 2.8,
  "m_tot_mub_per_fu": 0.000,
  "raw_formation_energy_ev_per_atom": -1.7304,
  "lattice": [[7.383, -1.690, 0.000], [7.383, 1.690, 0.000], [-1.590, 0.000, 6.601]],
  "species": ["Y", "Y", "Y", "Er", "Zr", "Zr", "N", "N", "N", "N", "N", "N"],
  "fractional_positions": [[0.000, 0.000, 0.000], [0.333, 0.333, 0.667], [0.667, 0.667, 0.333], [0.000, 0.000, 0.500], [0.333, 0.333, 0.166], [0.667, 0.667, 0.834], [0.167, 0.167, 0.597], [0.171, 0.171, 0.074], [0.494, 0.494, 0.249], [0.506, 0.506, 0.751], [0.829, 0.829, 0.926], [0.833, 0.833, 0.403]]
}

=====

# 5
{
  "formula": "YEr3Zr2N6",
  "functional": "GGA-PBE",
  "state": "relaxed",
  "sg": "C2/m",
  "dos_ef_per_ev_cell": 2.9,
  "m_tot_mub_per_fu": 0.000,
  "raw_formation_energy_ev_per_atom": -1.7589,
  "lattice": [[7.343, -1.683, 0.000], [7.343, 1.683, 0.000], [-1.564, 0.000, 6.571]],
  "species": ["Y", "Er", "Er", "Er", "Zr", "Zr", "N", "N", "N", "N", "N", "N"],
  "fractional_positions": [[0.000, 0.000, 0.000], [0.000, 0.000, 0.500], [0.333, 0.333, 0.167], [0.667, 0.667, 0.833], [0.333, 0.333, 0.665], [0.667, 0.667, 0.335], [0.169, 0.169, 0.095], [0.170, 0.170, 0.577], [0.495, 0.495, 0.744], [0.505, 0.505, 0.256], [0.830, 0.830, 0.423], [0.831, 0.831, 0.905]]
}

=====

# 6
{
  "formula": "Y2ErZr3N6",
  "functional": "GGA-PBE",
  "state": "relaxed",
  "sg": "C2/m",
  "dos_ef_per_ev_cell": 3.2,
  "m_tot_mub_per_fu": 0.000,
  "raw_formation_energy_ev_per_atom": -1.7313,
  "lattice": [[2.894, -5.004, 0.000], [2.894, 5.004, 0.000], [-1.933, 0.000, 5.505]],
  "species": ["Y", "Y", "Er", "Zr", "Zr", "Zr", "N", "N", "N", "N", "N", "N"],
  "fractional_positions": [[0.167, 0.833, 0.000], [0.833, 0.167, 0.000], [0.500, 0.500, 0.000], [0.000, 0.000, 0.500], [0.334, 0.666, 0.500], [0.666, 0.334, 0.500], [0.081, 0.411, 0.734], [0.258, 0.258, 0.266], [0.411, 0.081, 0.734], [0.589, 0.919, 0.266], [0.742, 0.742, 0.734], [0.919, 0.589, 0.266]]
}

=====

# 7
{
  "formula": "Er2ZnN",
  "functional": "GGA-PBE",
  "state": "relaxed",
  "sg": "R-3m",
  "dos_ef_per_ev_cell": 6.9,
  "m_tot_mub_per_fu": 0.000,
  "raw_formation_energy_ev_per_atom": -0.9227,
  "lattice": [[3.453, 0.000, 0.000], [-1.726, 2.990, 0.000], [0.000, 0.000, 22.166]],
  "species": ["Er", "Er", "Er", "Er", "Er", "Er", "Zn", "Zn", "Zn", "N", "N", "N"],
  "fractional_positions": [[0.000, 0.000, 0.228], [0.000, 0.000, 0.772], [0.333, 0.667, 0.439], [0.333, 0.667, 0.894], [0.667, 0.333, 0.106], [0.667, 0.333, 0.561], [0.000, 0.000, 0.000], [0.333, 0.667, 0.667], [0.667, 0.333, 0.333], [0.000, 0.000, 0.500], [0.333, 0.667, 0.167], [0.667, 0.333, 0.833]]
}

=====

# 8
{
  "formula": "ErZr4N5",
  "functional": "GGA-PBE",
  "state": "relaxed",
  "sg": "I4/m",
  "dos_ef_per_ev_cell": 3.0,
  "m_tot_mub_per_fu": 0.000,
  "raw_formation_energy_ev_per_atom": -1.7093,
  "lattice": [[-3.677, 3.677, 2.330], [3.677, -3.677, 2.330], [3.677, 3.677, -2.330]],
  "species": ["Er", "Zr", "Zr", "Zr", "Zr", "N", "N", "N", "N", "N"],
  "fractional_positions": [[0.000, 0.000, 0.000], [0.200, 0.601, 0.801], [0.399, 0.200, 0.599], [0.601, 0.800, 0.401], [0.800, 0.399, 0.199], [0.100, 0.304, 0.404], [0.304, 0.900, 0.205], [0.500, 0.500, 0.000], [0.696, 0.100, 0.795], [0.900, 0.696, 0.596]]
}

=====

# 9
{
  "formula": "ErZr6N8",
  "functional": "GGA-PBE",
  "state": "relaxed",
  "sg": "Fm-3m",
  "dos_ef_per_ev_cell": 4.4,
  "m_tot_mub_per_fu": 0.000,
  "raw_formation_energy_ev_per_atom": -1.5482,
  "lattice": [[0.000, 4.605, 4.605], [4.605, 0.000, 4.605], [4.605, 4.605, 0.000]],
  "species": ["Er", "Zr", "Zr", "Zr", "Zr", "Zr", "Zr", "N", "N", "N", "N", "N", "N", "N", "N"],
  "fractional_positions": [[0.000, 0.000, 0.000], [0.000, 0.000, 0.500], [0.000, 0.500, 0.000], [0.000, 0.500, 0.500], [0.500, 0.000, 0.000], [0.500, 0.000, 0.500], [0.500, 0.500, 0.000], [0.247, 0.247, 0.753], [0.247, 0.753, 0.247], [0.247, 0.753, 0.753], [0.250, 0.250, 0.250], [0.750, 0.750, 0.750], [0.753, 0.247, 0.247], [0.753, 0.247, 0.753], [0.753, 0.753, 0.247]]
}

=====

# 10
{
  "formula": "Er2ZrN",
  "functional": "GGA-PBE",
  "state": "relaxed",
  "sg": "R-3m",
  "dos_ef_per_ev_cell": 11.4,
  "m_tot_mub_per_fu": 0.001,
  "raw_formation_energy_ev_per_atom": -0.5980,
  "lattice": [[3.315, 0.000, 0.000], [-1.657, 2.871, 0.000], [0.000, 0.000, 27.276]],
  "species": ["Er", "Er", "Er", "Er", "Er", "Er", "Zr", "Zr", "Zr", "N", "N", "N"],
  "fractional_positions": [[0.000, 0.000, 0.117], [0.000, 0.000, 0.883], [0.333, 0.667, 0.549], [0.333, 0.667, 0.784], [0.667, 0.333, 0.216], [0.667, 0.333, 0.451], [0.000, 0.000, 0.000], [0.333, 0.667, 0.667], [0.667, 0.333, 0.333], [0.000, 0.000, 0.500], [0.333, 0.667, 0.167], [0.667, 0.333, 0.833]]
}

=====

# 11
{
  "formula": "ErZr3N4",
  "functional": "GGA-PBE",
  "state": "relaxed",
  "sg": "Cmmm",
  "dos_ef_per_ev_cell": 2.4,
  "m_tot_mub_per_fu": 0.000,
  "raw_formation_energy_ev_per_atom": -1.7222,
  "lattice": [[6.618, 0.000, 0.000], [0.000, 9.317, 0.000], [0.000, 0.000, 3.288]],
  "species": ["Er", "Er", "Zr", "Zr", "Zr", "Zr", "Zr", "Zr", "N", "N", "N", "N", "N", "N", "N", "N"],
  "fractional_positions": [[0.000, 0.000, 0.000], [0.500, 0.500, 0.000], [0.000, 0.500, 0.000], [0.250, 0.250, 0.500], [0.250, 0.750, 0.500], [0.500, 0.000, 0.000], [0.750, 0.250, 0.500], [0.750, 0.750, 0.500], [0.000, 0.253, 0.000], [0.000, 0.747, 0.000], [0.243, 0.500, 0.500], [0.257, 0.000, 0.500], [0.500, 0.247, 0.000], [0.500, 0.753, 0.000], [0.743, 0.000, 0.500], [0.757, 0.500, 0.500]]
}

=====

# 12
{
  "formula": "ErZr2N3",
  "functional": "GGA-PBE",
  "state": "relaxed",
  "sg": "Pnma",
  "dos_ef_per_ev_cell": 6.3,
  "m_tot_mub_per_fu": 0.000,
  "raw_formation_energy_ev_per_atom": -1.7293,
  "lattice": [[6.617, 0.000, 0.000], [0.000, 4.673, 0.000], [0.000, 0.000, 9.942]],
  "species": ["Er", "Er", "Er", "Er", "Zr", "Zr", "Zr", "Zr", "Zr", "Zr", "Zr", "Zr", "N", "N", "N", "N", "N", "N", "N", "N", "N", "N", "N", "N"],
  "fractional_positions": [[0.126, 0.250, 0.082], [0.374, 0.750, 0.582], [0.626, 0.250, 0.418], [0.874, 0.750, 0.918], [0.124, 0.250, 0.416], [0.124, 0.250, 0.750], [0.376, 0.750, 0.250], [0.376, 0.750, 0.916], [0.624, 0.250, 0.084], [0.624, 0.250, 0.750], [0.876, 0.750, 0.250], [0.876, 0.750, 0.584], [0.120, 0.750, 0.415], [0.125, 0.750, 0.750], [0.131, 0.750, 0.087], [0.369, 0.250, 0.587], [0.375, 0.250, 0.250], [0.380, 0.250, 0.915], [0.620, 0.750, 0.085], [0.625, 0.750, 0.750], [0.631, 0.750, 0.413], [0.869, 0.250, 0.913], [0.875, 0.250, 0.250], [0.880, 0.250, 0.585]]
}